K2YMnF: relaxed, PBE with a Hubbard U.

a = 4.8908 Å, b = 7.0816 Å, c = 4.8908 Å
α = 90.00°, β = 90.00°, γ = 90.00°
Last column: magnetic moment on the atom in μB.
Positions (direct):
Mn1 0.0000 0.5000 0.0000  4.61
K1 0.0000 0.0000 0.5000  -0.01
K2 0.5000 0.0000 0.0000  -0.01
Y1 0.5000 0.5000 0.5000  -0.42
F1 0.0000 0.0000 0.0000  0.00

Properties
Space-group type ... No. 123
Total energy ... -3.96 eV per atom